PmInPt after structural relaxation. Source: Alexandria, functional PBE-GGA.

Calculated values
- V (Å³ per cell) = 421
- energy above the most stable polymorph in this dataset (meV per atom) = 0
- E (eV per atom) = -5.4492
- ΔE_f (eV/atom) = -0.939
- space group = Pmma, No. 51

Unit cell a=13.764 b=3.896 c=7.852 alpha=90.00 beta=90.00 gamma=90.00
Atoms (fractional coordinates):
Pm  0.048  0.000  0.226
Pm  0.250  0.000  0.844
Pm  0.452  0.000  0.226
Pm  0.548  0.000  0.774
Pm  0.750  0.000  0.156
Pm  0.952  0.000  0.774
In  0.116  0.500  0.568
In  0.250  0.500  0.192
In  0.384  0.500  0.568
In  0.616  0.500  0.432
In  0.750  0.500  0.808
In  0.884  0.500  0.432
Pt  0.098  0.500  0.937
Pt  0.250  0.000  0.449
Pt  0.402  0.500  0.937
Pt  0.598  0.500  0.063
Pt  0.750  0.000  0.551
Pt  0.902  0.500  0.063


Ac5BiSb4 after structural relaxation. Source: Alexandria, functional PBE-GGA.

Calculated values
- V (Å³ per cell) = 395
- E (eV per atom) = -5.2661
- space group = I4/mmm, No. 139
- energy relative to the elements, uncorrected (eV/atom) = -1.1749

Unit cell a=17.360 b=17.360 c=17.360 alpha=164.05 beta=164.05 gamma=22.63
Atoms (fractional coordinates):
Ac  0.000  0.000  0.000
Ac  0.200  0.200  0.000
Ac  0.399  0.399  0.000
Ac  0.601  0.601  0.000
Ac  0.800  0.800  0.000
Bi  0.500  0.500  0.000
Sb  0.100  0.100  0.000
Sb  0.300  0.300  0.000
Sb  0.700  0.700  0.000
Sb  0.900  0.900  0.000


K5Ge2O6 after structural relaxation. Source: Alexandria, functional PBE-GGA.

Calculated values
- V (Å³ per cell) = 547
- E (eV per atom) = -5.0034
- space group = C2/c, No. 15
- energy relative to the elements, uncorrected (eV/atom) = -1.5825

Unit cell a=6.551 b=6.551 c=14.038 alpha=99.32 beta=99.32 gamma=67.80
Atoms (fractional coordinates):
K  0.100  0.900  0.750
K  0.185  0.715  0.002
K  0.270  0.431  0.286
K  0.285  0.815  0.498
K  0.431  0.270  0.786
K  0.569  0.730  0.214
K  0.715  0.185  0.502
K  0.730  0.569  0.714
K  0.815  0.285  0.998
K  0.900  0.100  0.250
Ge  0.153  0.395  0.573
Ge  0.395  0.153  0.073
Ge  0.605  0.847  0.927
Ge  0.847  0.605  0.427
O  0.097  0.212  0.636
O  0.101  0.336  0.437
O  0.212  0.097  0.136
O  0.336  0.101  0.937
O  0.386  0.469  0.618
O  0.469  0.386  0.118
O  0.531  0.614  0.882
O  0.614  0.531  0.382
O  0.664  0.899  0.063
O  0.788  0.903  0.864
O  0.899  0.664  0.563
O  0.903  0.788  0.364


VFePt3 after structural relaxation. Source: Alexandria, functional PBE-GGA.

Calculated values
- V (Å³ per cell) = 95
- energy above the most stable polymorph in this dataset (meV per atom) = 1289
- E (eV per atom) = -6.2591
- ΔE_f (eV/atom) = 0.882
- space group = Pm-3m, No. 221

Unit cell a=4.566 b=4.566 c=4.566 alpha=90.00 beta=90.00 gamma=90.00
Atoms (fractional coordinates):
V  0.000  0.000  0.000
Fe  0.500  0.500  0.500
Pt  0.000  0.500  0.500
Pt  0.500  0.000  0.500
Pt  0.500  0.500  0.000


KSrSi2 after structural relaxation. Source: Alexandria, functional PBE-GGA.

Calculated values
- V (Å³ per cell) = 364
- energy above the most stable polymorph in this dataset (meV per atom) = 663
- E (eV per atom) = -2.9217
- space group = R-3m, No. 166
- energy relative to the elements, uncorrected (eV/atom) = 0.4846

Unit cell a=3.681 b=3.681 c=31.026 alpha=90.00 beta=90.00 gamma=120.00
Atoms (fractional coordinates):
K  0.000  0.000  0.000
K  0.333  0.667  0.667
K  0.667  0.333  0.333
Sr  0.000  0.000  0.500
Sr  0.333  0.667  0.167
Sr  0.667  0.333  0.833
Si  0.000  0.000  0.246
Si  0.000  0.000  0.754
Si  0.333  0.667  0.421
Si  0.333  0.667  0.912
Si  0.667  0.333  0.088
Si  0.667  0.333  0.579


Sc2SeBr after structural relaxation. Source: Alexandria, functional PBE-GGA.

Calculated values
- V (Å³ per cell) = 188
- energy above the most stable polymorph in this dataset (meV per atom) = 290
- E (eV per atom) = -5.4020
- space group = Immm, No. 71
- energy relative to the elements, uncorrected (eV/atom) = -0.9469

Unit cell a=3.611 b=6.338 c=8.200 alpha=90.00 beta=90.00 gamma=90.00
Atoms (fractional coordinates):
Sc  0.000  0.000  0.231
Sc  0.000  0.000  0.769
Sc  0.500  0.500  0.269
Sc  0.500  0.500  0.731
Se  0.000  0.500  0.500
Se  0.500  0.000  0.000
Br  0.000  0.500  0.000
Br  0.500  0.000  0.500


PmMn2Br6 after structural relaxation. Source: Alexandria, functional PBE-GGA.

Calculated values
- V (Å³ per cell) = 603
- E (eV per atom) = -4.7097
- space group = C2/c, No. 15
- energy relative to the elements, uncorrected (eV/atom) = -1.0289

Unit cell a=9.303 b=9.303 c=7.132 alpha=97.52 beta=97.52 gamma=82.67
Atoms (fractional coordinates):
Pm  0.083  0.917  0.750
Pm  0.917  0.083  0.250
Mn  0.232  0.405  0.695
Mn  0.405  0.232  0.195
Mn  0.595  0.768  0.805
Mn  0.768  0.595  0.305
Br  0.042  0.217  0.630
Br  0.121  0.630  0.878
Br  0.217  0.042  0.130
Br  0.288  0.456  0.377
Br  0.370  0.879  0.622
Br  0.456  0.288  0.877
Br  0.544  0.712  0.123
Br  0.630  0.121  0.378
Br  0.712  0.544  0.623
Br  0.783  0.958  0.870
Br  0.879  0.370  0.122
Br  0.958  0.783  0.370


Ac2Tm3Cd4 after structural relaxation. Source: Alexandria, functional PBE-GGA.

Calculated values
- V (Å³ per cell) = 548
- E (eV per atom) = -2.9823
- ΔE_f (eV/atom) = -0.172
- space group = Cmce, No. 64

Unit cell a=9.931 b=9.931 c=8.467 alpha=90.00 beta=90.00 gamma=138.96
Atoms (fractional coordinates):
Ac  0.095  0.905  0.899
Ac  0.405  0.595  0.399
Ac  0.595  0.405  0.601
Ac  0.905  0.095  0.101
Tm  0.000  0.000  0.500
Tm  0.008  0.492  0.750
Tm  0.492  0.008  0.250
Tm  0.500  0.500  0.000
Tm  0.508  0.992  0.750
Tm  0.992  0.508  0.250
Cd  0.167  0.833  0.512
Cd  0.177  0.323  0.750
Cd  0.323  0.177  0.250
Cd  0.333  0.667  0.012
Cd  0.667  0.333  0.988
Cd  0.677  0.823  0.750
Cd  0.823  0.677  0.250
Cd  0.833  0.167  0.488


HoZn2SiNi2 after structural relaxation. Source: Alexandria, functional PBE-GGA.

Calculated values
- V (Å³ per cell) = 100
- E (eV per atom) = -4.3062
- space group = P4/mmm, No. 123
- energy relative to the elements, uncorrected (eV/atom) = -0.2876

Unit cell a=4.267 b=4.267 c=5.507 alpha=90.00 beta=90.00 gamma=90.00
Atoms (fractional coordinates):
Ho  0.000  0.000  0.000
Zn  0.500  0.500  0.235
Zn  0.500  0.500  0.765
Si  0.000  0.000  0.500
Ni  0.000  0.500  0.500
Ni  0.500  0.000  0.500


CaZrPa2As4 after structural relaxation. Source: Alexandria, functional PBE-GGA.

Calculated values
- V (Å³ per cell) = 379
- E (eV per atom) = -7.1108
- ΔE_f (eV/atom) = -1.093
- space group = I-4m2, No. 119

Unit cell a=5.747 b=5.747 c=11.480 alpha=90.00 beta=90.00 gamma=90.00
Atoms (fractional coordinates):
Ca  0.000  0.000  0.000
Ca  0.500  0.500  0.500
Zr  0.000  0.500  0.750
Zr  0.500  0.000  0.250
Pa  0.000  0.000  0.500
Pa  0.000  0.500  0.250
Pa  0.500  0.000  0.750
Pa  0.500  0.500  0.000
As  0.000  0.000  0.252
As  0.000  0.000  0.748
As  0.000  0.500  0.503
As  0.000  0.500  0.997
As  0.500  0.000  0.003
As  0.500  0.000  0.497
As  0.500  0.500  0.248
As  0.500  0.500  0.752